(1)
Here is a crystal of Be2SiNi relaxed with PBEsol from the Alexandria database. Energies are from meta-GGA SCAN.

Geometry as POSCAR:
```
Be2SiNi
1.0
-1.121 -0.910 2.100
2.686 -2.992 0.138
1.345 3.164 2.089
Ni Si Be
1 1 2
direct
0.500 0.000 0.000 Ni
0.500 0.500 0.500 Si
0.000 0.500 0.000 Be
0.000 0.000 0.500 Be
```

Its electronic total energy is -8.851 eV/atom. For the density of states at the Fermi level, the calculation gives 1.0 states/eV per cell. The formation energy without anion corrections comes out at -0.127 eV/atom. As for the total magnetic moment: 0.0 μB per formula unit.

***

(2)
Here is a crystal of SbMo2Cl relaxed with PBEsol from the Alexandria database. Energies are from meta-GGA SCAN.

Geometry as POSCAR:
```
SbMo2Cl
1.0
-0.008 3.093 -0.699
-2.838 -0.318 -1.379
-2.848 1.252 5.572
Sb Mo Cl
1 2 1
direct
0.500 0.500 0.000 Sb
0.000 0.000 0.737 Mo
0.000 0.000 0.263 Mo
0.500 0.500 0.500 Cl
```

Its electronic total energy is -28.102 eV/atom. For the density of states at the Fermi level, the calculation gives 3.2 states/eV per cell. The energy above the most stable polymorph in this dataset comes out at 0.793 eV/atom. The formation energy without anion corrections comes out at 0.650 eV/atom. As for the total magnetic moment: 0.0 μB per formula unit.

***

(3)
Here is a crystal of Fe3Ag relaxed with PBEsol from the Alexandria database. Energies are from meta-GGA SCAN.

Geometry as POSCAR:
```
Fe3Ag
1.0
-2.488 0.659 0.054
-1.107 -4.024 -1.893
0.015 -0.319 4.571
Ag Fe
1 3
direct
0.000 0.000 0.000 Ag
0.500 0.000 0.500 Fe
0.500 0.500 0.000 Fe
0.000 0.500 0.500 Fe
```

Its electronic total energy is -21.166 eV/atom. The formation energy is 273 meV per atom. For the density of states at the Fermi level, the calculation gives 2.9 states/eV per cell. As for the total magnetic moment: 8.4 μB per formula unit.